Here is a relaxed BaAlGeRh crystal from the Alexandria database. Energies are from PBE-GGA.

Computed properties:
N(E_F): 1.7 states/eV/f.u.
SG: No. 129
ΔH_f (0 K): -430.0 meV per atom
Crystal system: tetragonal

abc: 4.1153 4.1153 12.4317
angles: 90.00 90.00 90.00
With the nearest neighbours (Å) after each atom.
Fractional coordinates of all 8 atoms:
Ba 0.7500 0.7500 0.2479  4 Ge 3.39, 4 Rh 3.71, 4 Al 3.75
Ba 0.2500 0.2500 0.7521  4 Ge 3.39, 4 Rh 3.71, 4 Al 3.75
Al 0.2500 0.7500 0.5000  4 Al 2.91
Al 0.7500 0.2500 0.5000  4 Al 2.91
Ge 0.7500 0.7500 0.8924  4 Rh 2.45
Ge 0.2500 0.2500 0.1076  4 Rh 2.45
Rh 0.7500 0.2500 0.0000  4 Ge 2.45
Rh 0.2500 0.7500 0.0000  4 Ge 2.45

Here is a relaxed Ba2Al2Ge2Sb crystal from the Alexandria database. Energies are from PBE-GGA.

Computed properties:
N(E_F): 3.6 states/eV/f.u.
SG: No. 12
Formation energy from raw total energies: -0.463 eV/atom
Crystal system: monoclinic

abc: 4.7885 5.9599 9.6839
angles: 57.53 90.02 66.29
With the nearest neighbours (Å) after each atom.
Fractional coordinates of all 7 atoms:
Ba 0.5734 0.8533 0.7914  4 Al 3.36-3.61, 2 Sb 3.51, 4 Ge 3.59-3.72
Ba 0.4266 0.1467 0.2086  4 Al 3.36-3.61, 2 Sb 3.51, 4 Ge 3.59-3.72
Al 0.7762 0.4474 0.6325  3 Ge 2.57-2.68
Al 0.2238 0.5526 0.3675  3 Ge 2.57-2.68
Ge 0.8565 0.2869 0.4309  3 Al 2.57-2.68, 1 Ge 2.58
Ge 0.1435 0.7131 0.5691  3 Al 2.57-2.68, 1 Ge 2.58
Sb 0.0000 0.0000 0.0000  2 Al 2.90

Here is a relaxed BaAl2GeSb crystal from the Alexandria database. Energies are from PBE-GGA.

Computed properties:
N(E_F): 3.8 states/eV/f.u.
SG: No. 123
Formation energy from raw total energies: 0.128 eV/atom
Crystal system: tetragonal

abc: 5.0023 6.3020 5.0023
angles: 90.00 90.00 90.00
With the nearest neighbours (Å) after each atom.
Fractional coordinates of all 5 atoms:
Sb 0.5000 0.5000 0.5000  4 Ba 3.54
Ge 0.0000 0.0000 0.0000  4 Al 2.50
Ba 0.0000 0.5000 0.0000  2 Ge 3.15
Al 0.0000 0.0000 0.5000  2 Ge 2.50
Al 0.5000 0.0000 0.0000  2 Ge 2.50

Here is a relaxed Ba2Al4Si3Ge crystal from the Alexandria database. Energies are from PBE-GGA.

Computed properties:
N(E_F): 3.5 states/eV/f.u.
SG: No. 115
Formation energy from raw total energies: -0.253 eV/atom
Crystal system: tetragonal

abc: 4.7368 4.7368 10.0184
angles: 90.00 90.00 90.00
With the nearest neighbours (Å) after each atom.
Fractional coordinates of all 10 atoms:
Ba 0.5000 0.0000 0.2547  2 Ge 3.41, 7 Si 3.41-3.74, 9 Al 3.48-3.64
Ba 0.0000 0.5000 0.7453  7 Si 3.41-3.74, 2 Ge 3.41, 9 Al 3.48-3.64
Al 0.5000 0.5000 0.0000  4 Si 2.65
Al 0.0000 0.0000 0.0000  4 Si 2.65
Al 0.5000 0.0000 0.6181  3 Si 2.63-2.65, 2 Ge 2.65
Al 0.0000 0.5000 0.3819  3 Si 2.63-2.65, 2 Ge 2.65
Si 0.0000 0.0000 0.5000  4 Al 2.65
Si 0.5000 0.0000 0.8811  5 Al 2.63-2.65
Si 0.0000 0.5000 0.1189  5 Al 2.63-2.65
Ge 0.5000 0.5000 0.5000  4 Al 2.65

Here is a relaxed Ba2Al4SiGe3 crystal from the Alexandria database. Energies are from PBE-GGA.

Computed properties:
N(E_F): 3.4 states/eV/f.u.
SG: No. 115
Formation energy from raw total energies: -0.293 eV/atom
Crystal system: tetragonal

abc: 4.7798 4.7798 10.1428
angles: 90.00 90.00 90.00
With the nearest neighbours (Å) after each atom.
Fractional coordinates of all 10 atoms:
Ba 0.5000 0.0000 0.2565  2 Si 3.44, 7 Ge 3.44-3.85, 9 Al 3.53-3.63
Ba 0.0000 0.5000 0.7435  2 Si 3.44, 7 Ge 3.44-3.85, 9 Al 3.53-3.63
Al 0.5000 0.5000 0.0000  4 Ge 2.70
Al 0.0000 0.0000 0.0000  4 Ge 2.70
Al 0.5000 0.0000 0.6119  2 Si 2.65, 3 Ge 2.65-2.69
Al 0.0000 0.5000 0.3881  2 Si 2.65, 3 Ge 2.65-2.69
Si 0.5000 0.5000 0.5000  4 Al 2.65
Ge 0.0000 0.0000 0.5000  4 Al 2.65
Ge 0.5000 0.0000 0.8772  5 Al 2.69-2.70
Ge 0.0000 0.5000 0.1228  5 Al 2.69-2.70

Here is a relaxed Ba2Al4SnGe3 crystal from the Alexandria database. Energies are from PBE-GGA.

Computed properties:
N(E_F): 4.3 states/eV/f.u.
SG: No. 115
ΔH_f (0 K): -291.6 meV per atom
Crystal system: tetragonal

abc: 4.9148 4.9148 10.1906
angles: 90.00 90.00 90.00
With the nearest neighbours (Å) after each atom.
Fractional coordinates of all 10 atoms:
Ba 0.5000 0.0000 0.2481  9 Al 3.53-3.87, 2 Sn 3.55, 7 Ge 3.55-3.73
Ba 0.0000 0.5000 0.7519  9 Al 3.53-3.87, 2 Sn 3.55, 7 Ge 3.55-3.73
Al 0.5000 0.5000 0.0000  4 Ge 2.72
Al 0.0000 0.0000 0.0000  4 Ge 2.72
Al 0.5000 0.0000 0.6274  3 Ge 2.63-2.78, 2 Sn 2.78
Al 0.0000 0.5000 0.3726  3 Ge 2.63-2.78, 2 Sn 2.78
Sn 0.5000 0.5000 0.5000  4 Al 2.78
Ge 0.0000 0.0000 0.5000  4 Al 2.78
Ge 0.5000 0.0000 0.8855  5 Al 2.63-2.72
Ge 0.0000 0.5000 0.1145  5 Al 2.63-2.72